Run A
Here is BaFe2W after structural relaxation from Alexandria via LeMat-Bulk. Energies are from PBE.

Calculated values
Calculated volume   73.47 Å³ per cell

The structure in CIF format:
```
data_BaFe2W
_symmetry_space_group_name_H-M 'P 4/m m m'
_symmetry_Int_Tables_number 123
_symmetry_space_group_name_Hall '-P 4 2'
_cell_length_a 4.944
_cell_length_b 4.944
_cell_length_c 3.005
_cell_angle_alpha 90.00
_cell_angle_beta 90.00
_cell_angle_gamma 90.00
loop_
_atom_site_label
_atom_site_fract_x
_atom_site_fract_y
_atom_site_fract_z
Ba1 0.000 0.000 0.000
Fe1 0.000 0.500 0.500
W1 0.500 0.500 0.000
```

Run B
Here is BaFe2W after structural relaxation from Alexandria via LeMat-Bulk. Energies are from PBE.

Calculated values
Calculated volume   297.19 Å³ per cell

The structure in CIF format:
```
data_BaFe2W
_symmetry_space_group_name_H-M 'F m -3 m'
_symmetry_Int_Tables_number 225
_symmetry_space_group_name_Hall '-F 4 2 3'
_cell_length_a 6.673
_cell_length_b 6.673
_cell_length_c 6.673
_cell_angle_alpha 90.00
_cell_angle_beta 90.00
_cell_angle_gamma 90.00
loop_
_atom_site_label
_atom_site_fract_x
_atom_site_fract_y
_atom_site_fract_z
Ba1 0.000 0.000 0.000
Fe1 0.250 0.250 0.250
W1 0.000 0.000 0.500
```

Best to worst by energy: run A, run B.

Run A
Here is BaFe2W after structural relaxation from Alexandria via LeMat-Bulk. Energies are from PBE.

Calculated values
Calculated volume   78.78 Å³ per cell

The structure in CIF format:
```
data_BaFe2W
_symmetry_space_group_name_H-M 'P 1 2/m 1'
_symmetry_Int_Tables_number 10
_symmetry_space_group_name_Hall '-P 2y'
_cell_length_a 3.209
_cell_length_b 3.222
_cell_length_c 7.621
_cell_angle_alpha 90.00
_cell_angle_beta 90.19
_cell_angle_gamma 90.00
loop_
_atom_site_label
_atom_site_fract_x
_atom_site_fract_y
_atom_site_fract_z
Ba1 0.000 0.000 0.000
Fe1 0.499 0.500 0.344
W1 0.000 0.000 0.500
```

Run B
Here is BaFe2W after structural relaxation from Alexandria via LeMat-Bulk. Energies are from PBE.

Calculated values
Calculated volume   78.45 Å³ per cell

The structure in CIF format:
```
data_BaFe2W
_symmetry_space_group_name_H-M 'P 4 m m'
_symmetry_Int_Tables_number 99
_symmetry_space_group_name_Hall 'P 4 -2'
_cell_length_a 3.180
_cell_length_b 3.180
_cell_length_c 7.756
_cell_angle_alpha 90.00
_cell_angle_beta 90.00
_cell_angle_gamma 90.00
loop_
_atom_site_label
_atom_site_fract_x
_atom_site_fract_y
_atom_site_fract_z
Ba1 0.000 0.000 0.000
Fe1 0.000 0.000 0.487
Fe2 0.500 0.500 0.338
W1 0.500 0.500 0.645
```

Run C
Here is BaFe2W after structural relaxation from Alexandria via LeMat-Bulk. Energies are from PBE.

Calculated values
Calculated volume   337.46 Å³ per cell

The structure in CIF format:
```
data_BaFe2W
_symmetry_space_group_name_H-M 'I -4 2 d'
_symmetry_Int_Tables_number 122
_symmetry_space_group_name_Hall 'I -4 2bw'
_cell_length_a 7.156
_cell_length_b 7.156
_cell_length_c 6.589
_cell_angle_alpha 90.00
_cell_angle_beta 90.00
_cell_angle_gamma 90.00
loop_
_atom_site_label
_atom_site_fract_x
_atom_site_fract_y
_atom_site_fract_z
Ba1 0.000 0.000 0.000
Fe1 0.173 0.250 0.625
W1 0.000 0.000 0.500
```

Best to worst by energy: run A, run B, run C.

Run A
Here is BaFe2W after structural relaxation from Alexandria via LeMat-Bulk. Energies are from PBE.

Calculated values
Calculated volume   276.13 Å³ per cell

The structure in CIF format:
```
data_BaFe2W
_symmetry_space_group_name_H-M 'R -3 m'
_symmetry_Int_Tables_number 166
_symmetry_space_group_name_Hall '-R 3 2"'
_cell_length_a 4.2182
_cell_length_b 4.2182
_cell_length_c 17.9220
_cell_angle_alpha 90.00
_cell_angle_beta 90.00
_cell_angle_gamma 120.00
loop_
_atom_site_label
_atom_site_fract_x
_atom_site_fract_y
_atom_site_fract_z
Ba1 0.0000 0.0000 0.0000
Fe1 0.0000 0.0000 0.1896
W1 0.0000 0.0000 0.5000
```

Run B
Here is BaFe2W after structural relaxation from Alexandria via LeMat-Bulk. Energies are from PBE.

Calculated values
Calculated volume   274.84 Å³ per cell

The structure in CIF format:
```
data_BaFe2W
_symmetry_space_group_name_H-M 'R 3 m'
_symmetry_Int_Tables_number 160
_symmetry_space_group_name_Hall 'R 3 -2"'
_cell_length_a 4.1793
_cell_length_b 4.1793
_cell_length_c 18.1696
_cell_angle_alpha 90.00
_cell_angle_beta 90.00
_cell_angle_gamma 120.00
loop_
_atom_site_label
_atom_site_fract_x
_atom_site_fract_y
_atom_site_fract_z
Ba1 0.0000 0.0000 0.0000
Fe1 0.0000 0.0000 0.5014
Fe2 0.0000 0.0000 0.8074
W1 0.0000 0.0000 0.1903
```

Run C
Here is BaFe2W after structural relaxation from Alexandria via LeMat-Bulk. Energies are from PBE.

Calculated values
Calculated volume   173.45 Å³ per cell

The structure in CIF format:
```
data_BaFe2W
_symmetry_space_group_name_H-M 'I m m m'
_symmetry_Int_Tables_number 71
_symmetry_space_group_name_Hall '-I 2 2'
_cell_length_a 4.165
_cell_length_b 5.738
_cell_length_c 7.257
_cell_angle_alpha 90.00
_cell_angle_beta 90.00
_cell_angle_gamma 90.00
loop_
_atom_site_label
_atom_site_fract_x
_atom_site_fract_y
_atom_site_fract_z
Ba1 0.000 0.000 0.000
Fe1 0.000 0.500 0.181
W1 0.000 0.000 0.500
```

Run D
Here is BaFe2W after structural relaxation from Alexandria via LeMat-Bulk. Energies are from PBE.

Calculated values
Calculated volume   286.92 Å³ per cell

The structure in CIF format:
```
data_BaFe2W
_symmetry_space_group_name_H-M 'F -4 3 m'
_symmetry_Int_Tables_number 216
_symmetry_space_group_name_Hall 'F -4 2 3'
_cell_length_a 6.596
_cell_length_b 6.596
_cell_length_c 6.596
_cell_angle_alpha 90.00
_cell_angle_beta 90.00
_cell_angle_gamma 90.00
loop_
_atom_site_label
_atom_site_fract_x
_atom_site_fract_y
_atom_site_fract_z
Ba1 0.000 0.000 0.000
Fe1 0.000 0.000 0.500
Fe2 0.250 0.250 0.250
W1 0.250 0.250 0.750
```

Best to worst by energy: run A, run B, run C, run D.

Run A
Here is BaFe2W after structural relaxation from Alexandria via LeMat-Bulk. Energies are from PBE.

Calculated values
Calculated volume   149.42 Å³ per cell

The structure in CIF format:
```
data_BaFe2W
_symmetry_space_group_name_H-M 'I -4 m 2'
_symmetry_Int_Tables_number 119
_symmetry_space_group_name_Hall 'I -4 -2'
_cell_length_a 3.943
_cell_length_b 3.943
_cell_length_c 9.609
_cell_angle_alpha 90.00
_cell_angle_beta 90.00
_cell_angle_gamma 90.00
loop_
_atom_site_label
_atom_site_fract_x
_atom_site_fract_y
_atom_site_fract_z
Ba1 0.000 0.000 0.000
Fe1 0.000 0.000 0.500
Fe2 0.000 0.500 0.750
W1 0.000 0.500 0.250
```

Run B
Here is BaFe2W after structural relaxation from Alexandria via LeMat-Bulk. Energies are from PBE.

Calculated values
Calculated volume   153.63 Å³ per cell

The structure in CIF format:
```
data_BaFe2W
_symmetry_space_group_name_H-M 'I m m 2'
_symmetry_Int_Tables_number 44
_symmetry_space_group_name_Hall 'I 2 -2'
_cell_length_a 2.881
_cell_length_b 5.241
_cell_length_c 10.175
_cell_angle_alpha 90.00
_cell_angle_beta 90.00
_cell_angle_gamma 90.00
loop_
_atom_site_label
_atom_site_fract_x
_atom_site_fract_y
_atom_site_fract_z
Ba1 0.000 0.000 0.000
Fe1 0.000 0.000 0.492
Fe2 0.000 0.500 0.791
W1 0.000 0.500 0.202
```

Best to worst by energy: run B, run A.

Run A
Here is BaFe2W after structural relaxation from Alexandria via LeMat-Bulk. Energies are from PBE.

Calculated values
Calculated volume   171.55 Å³ per cell

The structure in CIF format:
```
data_BaFe2W
_symmetry_space_group_name_H-M 'A m m 2'
_symmetry_Int_Tables_number 38
_symmetry_space_group_name_Hall 'A 2 -2'
_cell_length_a 3.652
_cell_length_b 3.518
_cell_length_c 13.352
_cell_angle_alpha 90.00
_cell_angle_beta 90.00
_cell_angle_gamma 90.00
loop_
_atom_site_label
_atom_site_fract_x
_atom_site_fract_y
_atom_site_fract_z
Ba1 0.000 0.000 0.000
Fe1 0.000 0.000 0.753
Fe2 0.500 0.000 0.653
W1 0.500 0.000 0.276
```

Run B
Here is BaFe2W after structural relaxation from Alexandria via LeMat-Bulk. Energies are from PBE.

Calculated values
Calculated volume   231.17 Å³ per cell

The structure in CIF format:
```
data_BaFe2W
_symmetry_space_group_name_H-M 'R -3 m'
_symmetry_Int_Tables_number 166
_symmetry_space_group_name_Hall '-R 3 2"'
_cell_length_a 3.1467
_cell_length_b 3.1467
_cell_length_c 26.9574
_cell_angle_alpha 90.00
_cell_angle_beta 90.00
_cell_angle_gamma 120.00
loop_
_atom_site_label
_atom_site_fract_x
_atom_site_fract_y
_atom_site_fract_z
Ba1 0.0000 0.0000 0.0000
Fe1 0.0000 0.0000 0.2293
W1 0.0000 0.0000 0.5000
```

Best to worst by energy: run A, run B.

Run A
Here is Ba2Fe2W after structural relaxation from Alexandria via LeMat-Bulk. Energies are from PBE.

Calculated values
Calculated volume   264.41 Å³ per cell

The structure in CIF format:
```
data_Ba2Fe2W
_symmetry_space_group_name_H-M 'I 4/m m m'
_symmetry_Int_Tables_number 139
_symmetry_space_group_name_Hall '-I 4 2'
_cell_length_a 4.481
_cell_length_b 4.481
_cell_length_c 13.170
_cell_angle_alpha 90.00
_cell_angle_beta 90.00
_cell_angle_gamma 90.00
loop_
_atom_site_label
_atom_site_fract_x
_atom_site_fract_y
_atom_site_fract_z
Ba1 0.000 0.500 0.250
Fe1 0.000 0.000 0.076
W1 0.000 0.000 0.500
```

Run B
Here is Ba2Fe2W after structural relaxation from Alexandria via LeMat-Bulk. Energies are from PBE.

Calculated values
Calculated volume   229.09 Å³ per cell

The structure in CIF format:
```
data_Ba2Fe2W
_symmetry_space_group_name_H-M 'P 4/m b m'
_symmetry_Int_Tables_number 127
_symmetry_space_group_name_Hall '-P 4 2ab'
_cell_length_a 6.409
_cell_length_b 6.409
_cell_length_c 5.577
_cell_angle_alpha 90.00
_cell_angle_beta 90.00
_cell_angle_gamma 90.00
loop_
_atom_site_label
_atom_site_fract_x
_atom_site_fract_y
_atom_site_fract_z
Ba1 0.183 0.317 0.000
Fe1 0.127 0.627 0.500
W1 0.000 0.000 0.500
```

Best to worst by energy: run B, run A.